Density functional theory data (PBE) for a relaxed YPu crystal.

Computed properties:
Space-group type = No. 11
Total energy = -10.17 eV/atom

a = 3.2121 Å, b = 3.5882 Å, c = 8.8497 Å
α = 90.00°, β = 92.21°, γ = 90.00°
Fractional coordinates of all 4 atoms:
Y (0.2417, 0.2500, 0.3438)
Y (0.7583, 0.7500, 0.6562)
Pu (0.3542, 0.2500, 0.9349)
Pu (0.6458, 0.7500, 0.0651)